[1]
The following is a GGA-PBE calculation of crystalline ThAs4Pd6 at its relaxed geometry, from Alexandria via LeMat-Bulk.

Results
The value obtained for the raw total energy is -5.75 eV/atom.

a b c (Å): 7.365 7.365 4.133
angles (deg): 90.00 90.00 120.00
Positions (direct):
1 Th 0.000 0.000 0.000
2 As 0.333 0.667 0.000
3 As 0.382 0.191 0.500
4 As 0.809 0.191 0.500
5 As 0.809 0.618 0.500
6 Pd 0.197 0.394 0.500
7 Pd 0.197 0.803 0.500
8 Pd 0.535 0.071 0.000
9 Pd 0.535 0.465 0.000
10 Pd 0.606 0.803 0.500
11 Pd 0.929 0.465 0.000

---

[2]
The following is a GGA-PBE calculation of crystalline Th3As4Pd4 at its relaxed geometry, from Alexandria via LeMat-Bulk.

Results
The value obtained for the raw total energy is -6.58 eV/atom.

a b c (Å): 13.509 13.509 4.322
angles (deg): 96.29 96.29 17.18
Positions (direct):
1 Th 0.000 0.000 0.000
2 Th 0.151 0.151 0.681
3 Th 0.849 0.849 0.319
4 As 0.307 0.307 0.790
5 As 0.446 0.446 0.383
6 As 0.554 0.554 0.617
7 As 0.693 0.693 0.210
8 Pd 0.255 0.255 0.253
9 Pd 0.401 0.401 0.847
10 Pd 0.599 0.599 0.153
11 Pd 0.745 0.745 0.747

---

[3]
The following is a GGA-PBE calculation of crystalline Th3As6Pd20 at its relaxed geometry, from Alexandria via LeMat-Bulk.

Results
The value obtained for the raw total energy is -5.92 eV/atom.

a b c (Å): 8.960 8.960 8.960
angles (deg): 60.00 60.00 60.00
Positions (direct):
1 Th 0.000 0.000 0.000
2 Th 0.250 0.250 0.250
3 Th 0.750 0.750 0.750
4 As 0.266 0.266 0.734
5 As 0.266 0.734 0.266
6 As 0.266 0.734 0.734
7 As 0.734 0.266 0.266
8 As 0.734 0.266 0.734
9 As 0.734 0.734 0.266
10 Pd 0.000 0.000 0.348
11 Pd 0.000 0.000 0.652
12 Pd 0.000 0.348 0.000
13 Pd 0.000 0.348 0.652
14 Pd 0.000 0.652 0.000
15 Pd 0.000 0.652 0.348
16 Pd 0.143 0.619 0.619
17 Pd 0.348 0.000 0.000
18 Pd 0.348 0.000 0.652
19 Pd 0.348 0.652 0.000
20 Pd 0.381 0.381 0.381
21 Pd 0.381 0.381 0.857
22 Pd 0.381 0.857 0.381
23 Pd 0.619 0.143 0.619
24 Pd 0.619 0.619 0.143
25 Pd 0.619 0.619 0.619
26 Pd 0.652 0.000 0.000
27 Pd 0.652 0.000 0.348
28 Pd 0.652 0.348 0.000
29 Pd 0.857 0.381 0.381

---

[4]
The following is a GGA-PBE calculation of crystalline ThAs3Pd3 at its relaxed geometry, from Alexandria via LeMat-Bulk.

Results
The value obtained for the raw total energy is -5.55 eV/atom.

a b c (Å): 6.780 6.780 6.780
angles (deg): 90.00 90.00 90.00
Positions (direct):
1 Th 0.000 0.000 0.000
2 Th 0.500 0.500 0.500
3 As 0.000 0.250 0.500
4 As 0.000 0.750 0.500
5 As 0.250 0.500 0.000
6 As 0.500 0.000 0.250
7 As 0.500 0.000 0.750
8 As 0.750 0.500 0.000
9 Pd 0.000 0.500 0.250
10 Pd 0.000 0.500 0.750
11 Pd 0.250 0.000 0.500
12 Pd 0.500 0.250 0.000
13 Pd 0.500 0.750 0.000
14 Pd 0.750 0.000 0.500

---

[5]
The following is a GGA-PBE calculation of crystalline Th2As3Pd5 at its relaxed geometry, from Alexandria via LeMat-Bulk.

Results
The value obtained for the raw total energy is -6.31 eV/atom.

a b c (Å): 12.174 12.174 7.207
angles (deg): 90.00 90.00 158.91
Positions (direct):
1 Th 0.024 0.976 0.500
2 Th 0.326 0.674 0.489
3 Th 0.674 0.326 0.989
4 Th 0.976 0.024 0.000
5 As 0.108 0.892 0.815
6 As 0.273 0.727 0.917
7 As 0.452 0.548 0.693
8 As 0.548 0.452 0.193
9 As 0.727 0.273 0.417
10 As 0.892 0.108 0.315
11 Pd 0.107 0.893 0.191
12 Pd 0.194 0.806 0.612
13 Pd 0.227 0.773 0.228
14 Pd 0.378 0.622 0.952
15 Pd 0.446 0.554 0.306
16 Pd 0.554 0.446 0.806
17 Pd 0.622 0.378 0.452
18 Pd 0.773 0.227 0.728
19 Pd 0.806 0.194 0.112
20 Pd 0.893 0.107 0.691

---

[6]
The following is a GGA-PBE calculation of crystalline ThAsPd6 at its relaxed geometry, from Alexandria via LeMat-Bulk.

Results
The value obtained for the raw total energy is -5.79 eV/atom.

a b c (Å): 7.067 7.067 7.067
angles (deg): 46.06 46.06 46.06
Positions (direct):
1 Th 0.000 0.000 0.000
2 As 0.500 0.500 0.500
3 Pd 0.064 0.576 0.576
4 Pd 0.424 0.424 0.936
5 Pd 0.424 0.936 0.424
6 Pd 0.576 0.064 0.576
7 Pd 0.576 0.576 0.064
8 Pd 0.936 0.424 0.424

---

[7]
The following is a GGA-PBE calculation of crystalline Th2As4Pd3 at its relaxed geometry, from Alexandria via LeMat-Bulk.

Results
The value obtained for the raw total energy is -6.31 eV/atom.

a b c (Å): 8.266 8.266 7.776
angles (deg): 90.00 90.00 137.84
Positions (direct):
1 Th 0.120 0.880 0.924
2 Th 0.380 0.620 0.424
3 Th 0.620 0.380 0.576
4 Th 0.880 0.120 0.076
5 As 0.185 0.815 0.548
6 As 0.207 0.293 0.750
7 As 0.293 0.207 0.250
8 As 0.315 0.685 0.048
9 As 0.685 0.315 0.952
10 As 0.707 0.793 0.750
11 As 0.793 0.707 0.250
12 As 0.815 0.185 0.452
13 Pd 0.000 0.000 0.500
14 Pd 0.040 0.460 0.750
15 Pd 0.460 0.040 0.250
16 Pd 0.500 0.500 0.000
17 Pd 0.540 0.960 0.750
18 Pd 0.960 0.540 0.250

---

[8]
The following is a GGA-PBE calculation of crystalline ThAs3Pd at its relaxed geometry, from Alexandria via LeMat-Bulk.

Results
The value obtained for the raw total energy is -6.04 eV/atom.

a b c (Å): 12.363 5.868 5.821
angles (deg): 90.00 90.00 90.00
Positions (direct):
1 Th 0.189 0.003 0.250
2 Th 0.189 0.497 0.750
3 Th 0.811 0.503 0.250
4 Th 0.811 0.997 0.750
5 As 0.000 0.250 0.000
6 As 0.000 0.250 0.500
7 As 0.000 0.750 0.000
8 As 0.000 0.750 0.500
9 As 0.260 0.508 0.250
10 As 0.260 0.992 0.750
11 As 0.431 0.119 0.250
12 As 0.431 0.381 0.750
13 As 0.569 0.619 0.250
14 As 0.569 0.881 0.750
15 As 0.740 0.008 0.250
16 As 0.740 0.492 0.750
17 Pd 0.414 0.750 0.000
18 Pd 0.414 0.750 0.500
19 Pd 0.586 0.250 0.000
20 Pd 0.586 0.250 0.500

---

[9]
The following is a GGA-PBE calculation of crystalline ThTl2As2Pd7 at its relaxed geometry, from Alexandria via LeMat-Bulk.

Results
The value obtained for the raw total energy is -5.25 eV/atom.

a b c (Å): 4.122 4.122 14.671
angles (deg): 94.65 94.65 89.99
Positions (direct):
1 Th 0.000 0.000 0.000
2 Tl 0.103 0.103 0.401
3 Tl 0.897 0.897 0.599
4 As 0.426 0.426 0.751
5 As 0.574 0.574 0.249
6 Pd 0.045 0.544 0.148
7 Pd 0.401 0.401 0.584
8 Pd 0.456 0.955 0.852
9 Pd 0.500 0.500 0.000
10 Pd 0.544 0.045 0.148
11 Pd 0.599 0.599 0.416
12 Pd 0.955 0.456 0.852

---

[10]
The following is a GGA-PBE calculation of crystalline Ti3As3Pd at its relaxed geometry, from Alexandria via LeMat-Bulk.

Results
The value obtained for the raw total energy is -6.91 eV/atom.

a b c (Å): 11.082 3.689 11.553
angles (deg): 90.00 90.00 90.00
Positions (direct):
1 Ti 0.050 0.250 0.130
2 Ti 0.158 0.750 0.509
3 Ti 0.220 0.750 0.784
4 Ti 0.280 0.250 0.284
5 Ti 0.342 0.250 0.009
6 Ti 0.450 0.750 0.630
7 Ti 0.550 0.250 0.370
8 Ti 0.658 0.750 0.991
9 Ti 0.720 0.750 0.716
10 Ti 0.780 0.250 0.216
11 Ti 0.842 0.250 0.491
12 Ti 0.950 0.750 0.870
13 As 0.073 0.250 0.367
14 As 0.119 0.250 0.912
15 As 0.218 0.750 0.130
16 As 0.282 0.250 0.630
17 As 0.381 0.750 0.412
18 As 0.427 0.750 0.867
19 As 0.573 0.250 0.133
20 As 0.619 0.250 0.588
21 As 0.718 0.750 0.370
22 As 0.782 0.250 0.870
23 As 0.881 0.750 0.088
24 As 0.927 0.750 0.633
25 Pd 0.062 0.250 0.686
26 Pd 0.438 0.750 0.186
27 Pd 0.562 0.250 0.814
28 Pd 0.938 0.750 0.314

---

[11]
The following is a GGA-PBE calculation of crystalline TiAs2Pd at its relaxed geometry, from Alexandria via LeMat-Bulk.

Results
The value obtained for the raw total energy is -6.11 eV/atom.

a b c (Å): 4.417 4.417 3.294
angles (deg): 90.00 90.00 90.00
Positions (direct):
1 Ti 0.000 0.000 0.000
2 As 0.000 0.500 0.500
3 As 0.500 0.000 0.500
4 Pd 0.500 0.500 0.000

---

[12]
The following is a GGA-PBE calculation of crystalline TiAs2Pd at its relaxed geometry, from Alexandria via LeMat-Bulk.

Results
The value obtained for the raw total energy is -6.02 eV/atom.

a b c (Å): 5.905 5.905 5.905
angles (deg): 38.52 38.52 38.52
Positions (direct):
1 Ti 0.000 0.000 0.000
2 As 0.408 0.408 0.408
3 As 0.579 0.579 0.579
4 Pd 0.821 0.821 0.821

---

[13]
The following is a GGA-PBE calculation of crystalline TiAs2Pd at its relaxed geometry, from Alexandria via LeMat-Bulk.

Results
The value obtained for the raw total energy is -5.96 eV/atom.

a b c (Å): 4.525 4.525 4.525
angles (deg): 60.00 60.00 60.00
Positions (direct):
1 Ti 0.000 0.000 0.000
2 As 0.250 0.250 0.250
3 As 0.750 0.750 0.750
4 Pd 0.500 0.500 0.500

---

[14]
The following is a GGA-PBE calculation of crystalline Ti2AsPd6 at its relaxed geometry, from Alexandria via LeMat-Bulk.

Results
The value obtained for the raw total energy is -6.27 eV/atom.

a b c (Å): 8.253 8.253 4.052
angles (deg): 90.00 90.00 90.00
Positions (direct):
1 Ti 0.191 0.191 0.000
2 Ti 0.309 0.691 0.500
3 Ti 0.691 0.309 0.500
4 Ti 0.809 0.809 0.000
5 As 0.000 0.000 0.500
6 As 0.500 0.500 0.000
7 Pd 0.015 0.327 0.500
8 Pd 0.143 0.857 0.000
9 Pd 0.173 0.515 0.000
10 Pd 0.327 0.015 0.500
11 Pd 0.357 0.357 0.500
12 Pd 0.485 0.827 0.000
13 Pd 0.515 0.173 0.000
14 Pd 0.643 0.643 0.500
15 Pd 0.673 0.985 0.500
16 Pd 0.827 0.485 0.000
17 Pd 0.857 0.143 0.000
18 Pd 0.985 0.673 0.500

---

[15]
The following is a GGA-PBE calculation of crystalline TiAs2Pd8 at its relaxed geometry, from Alexandria via LeMat-Bulk.

Results
The value obtained for the raw total energy is -5.55 eV/atom.

a b c (Å): 6.661 6.661 4.583
angles (deg): 100.54 100.54 79.28
Positions (direct):
1 Ti 0.000 0.000 0.000
2 As 0.173 0.173 0.564
3 As 0.827 0.827 0.436
4 Pd 0.149 0.680 0.228
5 Pd 0.269 0.269 0.119
6 Pd 0.320 0.851 0.772
7 Pd 0.424 0.424 0.708
8 Pd 0.576 0.576 0.292
9 Pd 0.680 0.149 0.228
10 Pd 0.731 0.731 0.881
11 Pd 0.851 0.320 0.772

---

[16]
The following is a GGA-PBE calculation of crystalline TiAs2Pd at its relaxed geometry, from Alexandria via LeMat-Bulk.

Results
The value obtained for the raw total energy is -5.89 eV/atom.

a b c (Å): 8.761 8.761 8.761
angles (deg): 151.98 151.98 40.04
Positions (direct):
1 Ti 0.000 0.000 0.000
2 Ti 0.750 0.250 0.500
3 As 0.125 0.625 0.000
4 As 0.375 0.375 0.500
5 As 0.625 0.125 0.000
6 As 0.875 0.875 0.500
7 Pd 0.250 0.750 0.500
8 Pd 0.500 0.500 0.000

---

[17]
The following is a GGA-PBE calculation of crystalline TiAs2Pd at its relaxed geometry, from Alexandria via LeMat-Bulk.

Results
The value obtained for the raw total energy is -5.93 eV/atom.

a b c (Å): 6.000 6.000 6.000
angles (deg): 37.46 37.46 37.46
Positions (direct):
1 Ti 0.000 0.000 0.000
2 As 0.251 0.251 0.251
3 As 0.749 0.749 0.749
4 Pd 0.500 0.500 0.500

---

[18]
The following is a GGA-PBE calculation of crystalline TiAs3Pd at its relaxed geometry, from Alexandria via LeMat-Bulk.

Results
The value obtained for the raw total energy is -5.13 eV/atom. The energy relative to the lowest polymorph listed for this composition is 0.000 eV/atom.

a b c (Å): 4.818 4.818 4.818
angles (deg): 90.00 90.00 90.00
Positions (direct):
1 Ti 0.000 0.000 0.000
2 As 0.000 0.000 0.500
3 As 0.000 0.500 0.000
4 As 0.500 0.000 0.000
5 Pd 0.500 0.500 0.500

---

[19]
The following is a GGA-PBE calculation of crystalline TiAsPd6 at its relaxed geometry, from Alexandria via LeMat-Bulk.

Results
The value obtained for the raw total energy is -5.77 eV/atom.

a b c (Å): 5.053 5.055 5.084
angles (deg): 92.89 93.06 92.69
Positions (direct):
1 Ti 0.000 0.000 0.000
2 As 0.500 0.500 0.500
3 Pd 0.065 0.440 0.751
4 Pd 0.249 0.933 0.563
5 Pd 0.439 0.752 0.069
6 Pd 0.561 0.248 0.931
7 Pd 0.751 0.067 0.437
8 Pd 0.935 0.560 0.249

---

[20]
The following is a GGA-PBE calculation of crystalline Ti2VAsPd at its relaxed geometry, from Alexandria via LeMat-Bulk.

Results
The value obtained for the raw total energy is -6.33 eV/atom.

a b c (Å): 4.512 4.512 4.628
angles (deg): 90.00 90.00 90.00
Positions (direct):
1 Ti 0.000 0.500 0.000
2 Ti 0.500 0.000 0.000
3 V 0.000 0.000 0.000
4 As 0.500 0.500 0.500
5 Pd 0.000 0.000 0.500

---

Number 1: DFT formation energy -552 meV per atom. Number 2: DFT formation energy -981 meV per atom. Number 3: DFT formation energy -608 meV per atom. Number 4: DFT formation energy -273 meV per atom. Number 5: DFT formation energy -832 meV per atom. Number 6: DFT formation energy -385 meV per atom. Number 7: DFT formation energy -864 meV per atom. Number 8: DFT formation energy -731 meV per atom. Number 9: DFT formation energy -431 meV per atom. Number 10: DFT formation energy -787 meV per atom. Number 11: DFT formation energy -510 meV per atom. Number 12: DFT formation energy -426 meV per atom. Number 13: DFT formation energy -358 meV per atom. Number 14: DFT formation energy -538 meV per atom. Number 15: DFT formation energy -206 meV per atom. Number 16: DFT formation energy -291 meV per atom. Number 17: DFT formation energy -333 meV per atom. Number 18: DFT formation energy 274 meV per atom. Number 19: DFT formation energy -310 meV per atom. Number 20: DFT formation energy 617 meV per atom.